Compound: MgAsIN2
Source: the Alexandria database
Functional: GGA-PBE
Structure: relaxed Values from VASP.

The structure in Quantum ESPRESSO input format:
```
&SYSTEM
  ibrav = 0, nat = 5, ntyp = 4
/
ATOMIC_SPECIES
Mg 24.30 Mg.upf
As 74.92 As.upf
I 126.90 I.upf
N 14.01 N.upf
CELL_PARAMETERS angstrom
3.896 0.000 0.000
0.000 3.896 0.000
0.000 0.000 6.638
ATOMIC_POSITIONS crystal
Mg 0.000 0.000 0.000
As 0.500 0.500 0.500
I 0.500 0.500 0.000
N 0.000 0.500 0.500
N 0.500 0.000 0.500
```

Summary:
Total magnetization: 0.2 μB/f.u.
Uncorrected formation energy: 1.076 eV per atom
Energy relative to the lowest polymorph listed for this composition: 0.00 eV/f.u.
Mass density: 4.2 g/cm3
Energy: -3.813 eV/atom